No. 1
# Li4HfO4 (PBE-GGA, relaxed)
# * formation energy from raw total energies: -2.448 eV per atom
# * N(E_F): 0.000 states/eV/f.u.
data_Li4HfO4
_chemical_formula_sum 'Li16 Hf4 O16'
_symmetry_space_group_name_H-M 'C m c m'
_symmetry_Int_Tables_number 63
_symmetry_space_group_name_Hall '-C 2c 2'
_cell_length_a 8.253
_cell_length_b 7.488
_cell_length_c 6.400
_cell_angle_alpha 90.00
_cell_angle_beta 90.00
_cell_angle_gamma 90.00
loop_
_atom_site_label
_atom_site_type_symbol
_atom_site_fract_x
_atom_site_fract_y
_atom_site_fract_z
Li1 Li 0.143 0.240 0.250
Li2 Li 0.157 0.500 0.000
Hf1 Hf 0.000 0.155 0.750
O1 O 0.000 0.298 0.007
O2 O 0.206 0.020 0.750

No. 2
# Li2HfO3 (PBE-GGA, relaxed)
# * formation energy from raw total energies: -2.662 eV per atom
# * N(E_F): 0.000 states/eV/f.u.
data_Li2HfO3
_chemical_formula_sum 'Li8 Hf4 O12'
_symmetry_space_group_name_H-M 'C m c 21'
_symmetry_Int_Tables_number 36
_symmetry_space_group_name_Hall 'C 2c -2'
_cell_length_a 9.966
_cell_length_b 5.721
_cell_length_c 5.263
_cell_angle_alpha 90.00
_cell_angle_beta 90.00
_cell_angle_gamma 90.00
loop_
_atom_site_label
_atom_site_type_symbol
_atom_site_fract_x
_atom_site_fract_y
_atom_site_fract_z
Li1 Li 0.180 0.163 0.000
Hf1 Hf 0.000 0.311 0.497
O1 O 0.000 0.353 0.879
O2 O 0.160 0.161 0.377

Repeat the second record exactly.
# Li2HfO3 (PBE-GGA, relaxed)
# * formation energy from raw total energies: -2.662 eV per atom
# * N(E_F): 0.000 states/eV/f.u.
data_Li2HfO3
_chemical_formula_sum 'Li8 Hf4 O12'
_symmetry_space_group_name_H-M 'C m c 21'
_symmetry_Int_Tables_number 36
_symmetry_space_group_name_Hall 'C 2c -2'
_cell_length_a 9.966
_cell_length_b 5.721
_cell_length_c 5.263
_cell_angle_alpha 90.00
_cell_angle_beta 90.00
_cell_angle_gamma 90.00
loop_
_atom_site_label
_atom_site_type_symbol
_atom_site_fract_x
_atom_site_fract_y
_atom_site_fract_z
Li1 Li 0.180 0.163 0.000
Hf1 Hf 0.000 0.311 0.497
O1 O 0.000 0.353 0.879
O2 O 0.160 0.161 0.377

Q: Which value of N(E_F) does entry 2 give?
A: 0.000 states/eV/f.u.

Q: Number 2 is which compound?
A: Li2HfO3